# 1
The following is a PBEsol calculation of an optimized crystal structure of Mn3N2, from Alexandria.

Calculated values
Volume (Å³/atom): 8.938
Uncorrected formation energy (eV per atom): -0.27
Final energy (eV per atom): -9.54
Space-group type: P-3m1, No. 164
DOS(E_F) (states/eV/f.u.): 3.18

Cell: 2.7768 2.7768 6.6929 Å, 90.00 90.00 120.00°
With the nearest neighbours (Å) after each atom.
Positions (direct):
Mn1 0.0000 0.0000 0.0000  6 N 2.03
Mn2 0.3333 0.6667 0.6603  3 N 1.91
Mn3 0.6667 0.3333 0.3397  3 N 1.91
N1 0.3333 0.6667 0.1859  6 Mn 1.91-2.03
N2 0.6667 0.3333 0.8141  6 Mn 1.91-2.03

***

# 2
The following is a PBEsol calculation of an optimized crystal structure of MnN, from Alexandria.

Calculated values
Volume (Å³/atom): 9.497
Uncorrected formation energy (eV per atom): -0.33
Final energy (eV per atom): -9.48
Space-group type: P6_3mc, No. 186
DOS(E_F) (states/eV/f.u.): 1.50

Cell: 2.9164 2.9164 5.1571 Å, 90.00 90.00 120.00°
With the nearest neighbours (Å) after each atom.
Positions (direct):
Mn1 0.3333 0.6667 0.0000  4 N 1.83-1.84
Mn2 0.6667 0.3333 0.5000  4 N 1.83-1.84
N1 0.3333 0.6667 0.3554  4 Mn 1.83-1.84
N2 0.6667 0.3333 0.8554  4 Mn 1.83-1.84

***

# 3
The following is a PBEsol calculation of an optimized crystal structure of NaMnN2, from Alexandria.

Calculated values
Volume (Å³/atom): 12.804
Uncorrected formation energy (eV per atom): -0.33
Final energy (eV per atom): -7.38
Space-group type: I-42d, No. 122
DOS(E_F) (states/eV/f.u.): 2.41

Cell: 5.0138 5.0138 8.1496 Å, 90.00 90.00 90.00°
With the nearest neighbours (Å) after each atom.
Positions (direct):
Na1 0.0000 0.0000 0.0000  4 N 2.49
Na2 0.0000 0.5000 0.2500  4 N 2.49
Na3 0.5000 0.0000 0.7500  4 N 2.49
Na4 0.5000 0.5000 0.5000  4 N 2.49
Mn1 0.0000 0.0000 0.5000  4 N 1.73
Mn2 0.0000 0.5000 0.7500  4 N 1.73
Mn3 0.5000 0.0000 0.2500  4 N 1.73
Mn4 0.5000 0.5000 0.0000  4 N 1.73
N1 0.1226 0.7500 0.6250  2 Mn 1.73
N2 0.2500 0.1226 0.3750  2 Mn 1.73
N3 0.2500 0.3774 0.8750  2 Mn 1.73
N4 0.3774 0.7500 0.1250  2 Mn 1.73
N5 0.6226 0.2500 0.1250  2 Mn 1.73
N6 0.7500 0.6226 0.8750  2 Mn 1.73
N7 0.7500 0.8774 0.3750  2 Mn 1.73
N8 0.8774 0.2500 0.6250  2 Mn 1.73

***

# 4
The following is a PBEsol calculation of an optimized crystal structure of MnNb3N, from Alexandria.

Calculated values
Volume (Å³/atom): 17.992
Uncorrected formation energy (eV per atom): 1.70
Final energy (eV per atom): -8.45
Space-group type: Pm-3m, No. 221
DOS(E_F) (states/eV/f.u.): 4.35

Cell: 4.4808 4.4808 4.4808 Å, 90.00 90.00 90.00°
With the nearest neighbours (Å) after each atom.
Positions (direct):
Mn1 0.0000 0.0000 0.0000  6 Nb 2.24
Nb1 0.0000 0.0000 0.5000  2 Mn 2.24
Nb2 0.0000 0.5000 0.0000  2 Mn 2.24
Nb3 0.5000 0.0000 0.0000  2 Mn 2.24
N1 0.5000 0.5000 0.5000  12 Nb 3.17

***

# 5
The following is a PBEsol calculation of an optimized crystal structure of Mn5Nb7N2, from Alexandria.

Calculated values
Volume (Å³/atom): 13.367
Uncorrected formation energy (eV per atom): -0.47
Final energy (eV per atom): -10.58
Space-group type: Imma, No. 74
DOS(E_F) (states/eV/f.u.): 9.81

Cell: 8.0930 8.0930 8.0930 Å, 120.48 119.71 89.84°
With the nearest neighbours (Å) after each atom.
Positions (direct):
Mn1 0.0000 0.0000 0.0000  6 Mn 2.37-2.41
Mn2 0.2819 0.1978 0.0841  3 Mn 2.37-2.54, 2 Nb 2.49
Mn3 0.2921 0.1909 0.3988  5 Mn 2.39-2.54, 1 Nb 2.52
Mn4 0.2921 0.8934 0.1012  5 Mn 2.39-2.54, 1 Nb 2.52
Mn5 0.3863 0.8022 0.5841  3 Mn 2.37-2.54, 2 Nb 2.49
Mn6 0.5000 0.0000 0.5000  6 Mn 2.37-2.41
Mn7 0.6137 0.1978 0.4159  3 Mn 2.37-2.54, 2 Nb 2.49
Mn8 0.7079 0.1066 0.8988  5 Mn 2.39-2.54, 1 Nb 2.52
Mn9 0.7079 0.8091 0.6012  5 Mn 2.39-2.54, 1 Nb 2.52
Mn10 0.7181 0.8022 0.9159  3 Mn 2.37-2.54, 2 Nb 2.49
Nb1 0.0637 0.4284 0.2455  2 N 2.16-2.17
Nb2 0.0637 0.8182 0.6353  2 N 2.16-2.17
Nb3 0.0721 0.8221 0.2500  2 N 2.17
Nb4 0.3120 0.5620 0.7500  2 N 2.15
Nb5 0.3171 0.1818 0.7455  2 N 2.16-2.17
Nb6 0.3171 0.5716 0.1353  2 N 2.16-2.17
Nb7 0.5000 0.0000 0.0000  6 Mn 2.49-2.52
Nb8 0.5000 0.5000 0.5000  6 Mn 2.49-2.52
Nb9 0.6829 0.4284 0.8647  2 N 2.16-2.17
Nb10 0.6829 0.8182 0.2545  2 N 2.16-2.17
Nb11 0.6880 0.4380 0.2500  2 N 2.15
Nb12 0.9279 0.1779 0.7500  2 N 2.17
Nb13 0.9363 0.1818 0.3647  2 N 2.16-2.17
Nb14 0.9363 0.5716 0.7545  2 N 2.16-2.17
N1 0.0000 0.0000 0.5000  6 Nb 2.17
N2 0.0000 0.5000 0.0000  6 Nb 2.17
N3 0.0000 0.5000 0.5000  6 Nb 2.15-2.16
N4 0.5000 0.5000 0.0000  6 Nb 2.15-2.16

***

# 6
The following is a PBEsol calculation of an optimized crystal structure of MnNbNO2, from Alexandria.

Calculated values
Volume (Å³/atom): 9.656
Uncorrected formation energy (eV per atom): -0.72
Final energy (eV per atom): -8.64
Space-group type: P4/mmm, No. 123
DOS(E_F) (states/eV/f.u.): 2.80

Cell: 3.5860 3.5860 3.7546 Å, 90.00 90.00 90.00°
With the nearest neighbours (Å) after each atom.
Positions (direct):
Mn1 0.0000 0.0000 0.0000  4 O 1.79, 2 N 1.88
Nb1 0.5000 0.5000 0.5000  4 N 2.54, 8 O 2.60
N1 0.0000 0.0000 0.5000  2 Mn 1.88
O1 0.0000 0.5000 0.0000  2 Mn 1.79
O2 0.5000 0.0000 0.0000  2 Mn 1.79

***

# 7
The following is a PBEsol calculation of an optimized crystal structure of MnNbN2O, from Alexandria.

Calculated values
Volume (Å³/atom): 9.525
Uncorrected formation energy (eV per atom): -0.27
Final energy (eV per atom): -8.84
Space-group type: P4/mmm, No. 123
DOS(E_F) (states/eV/f.u.): 2.39

Cell: 3.6731 3.6731 3.5300 Å, 90.00 90.00 90.00°
With the nearest neighbours (Å) after each atom.
Positions (direct):
Mn1 0.0000 0.0000 0.0000  2 O 1.76, 4 N 1.84
Nb1 0.5000 0.5000 0.5000  8 N 2.55, 4 O 2.60
N1 0.0000 0.5000 0.0000  2 Mn 1.84
N2 0.5000 0.0000 0.0000  2 Mn 1.84
O1 0.0000 0.0000 0.5000  2 Mn 1.76

***

# 8
The following is a PBEsol calculation of an optimized crystal structure of MnNbRe2N, from Alexandria.

Calculated values
Volume (Å³/atom): 20.918
Uncorrected formation energy (eV per atom): 3.36
Final energy (eV per atom): -7.79
Space-group type: P4/mmm, No. 123
DOS(E_F) (states/eV/f.u.): 5.14

Cell: 4.7109 4.7109 4.7128 Å, 90.00 90.00 90.00°
With the nearest neighbours (Å) after each atom.
Positions (direct):
Mn1 0.0000 0.0000 0.0000  2 Nb 2.36
Nb1 0.0000 0.0000 0.5000  4 Re 2.36, 2 Mn 2.36
Re1 0.0000 0.5000 0.5000  2 Nb 2.36
Re2 0.5000 0.0000 0.5000  2 Nb 2.36
N1 0.5000 0.5000 0.0000  4 Mn 3.33, 8 Re 3.33

***

# 9
The following is a PBEsol calculation of an optimized crystal structure of MnNbRh2N, from Alexandria.

Calculated values
Volume (Å³/atom): 12.371
Uncorrected formation energy (eV per atom): -0.08
Final energy (eV per atom): -9.16
Space-group type: P4/mmm, No. 123
DOS(E_F) (states/eV/f.u.): 4.09

Cell: 4.0931 4.0931 3.6920 Å, 90.00 90.00 90.00°
With the nearest neighbours (Å) after each atom.
Positions (direct):
Mn1 0.0000 0.0000 0.0000  2 N 1.85
Nb1 0.5000 0.5000 0.0000  8 Rh 2.76, 4 Mn 2.89
Rh1 0.0000 0.5000 0.5000  2 N 2.05
Rh2 0.5000 0.0000 0.5000  2 N 2.05
N1 0.0000 0.0000 0.5000  2 Mn 1.85, 4 Rh 2.05

***

# 10
The following is a PBEsol calculation of an optimized crystal structure of MnNbS2N, from Alexandria.

Calculated values
Volume (Å³/atom): 18.312
Uncorrected formation energy (eV per atom): 0.07
Final energy (eV per atom): -7.51
Space-group type: P4/mmm, No. 123
DOS(E_F) (states/eV/f.u.): 1.50

Cell: 4.8738 4.8738 3.8547 Å, 90.00 90.00 90.00°
With the nearest neighbours (Å) after each atom.
Positions (direct):
Mn1 0.0000 0.0000 0.0000  8 S 3.11, 4 N 3.45
Nb1 0.5000 0.5000 0.5000  2 N 1.93
S1 0.0000 0.5000 0.5000  2 Nb 2.44
S2 0.5000 0.0000 0.5000  2 Nb 2.44
N1 0.5000 0.5000 0.0000  2 Nb 1.93

***

# 11
The following is a PBEsol calculation of an optimized crystal structure of MnNb2SbN, from Alexandria.

Calculated values
Volume (Å³/atom): 14.523
Uncorrected formation energy (eV per atom): -0.46
Final energy (eV per atom): -9.36
Space-group type: P4/mmm, No. 123
DOS(E_F) (states/eV/f.u.): 3.24

Cell: 4.3728 4.3728 3.7976 Å, 90.00 90.00 90.00°
With the nearest neighbours (Å) after each atom.
Positions (direct):
Mn1 0.0000 0.0000 0.0000  2 N 1.90
Nb1 0.0000 0.5000 0.5000  2 N 2.19
Nb2 0.5000 0.0000 0.5000  2 N 2.19
Sb1 0.5000 0.5000 0.0000  8 Nb 2.90, 4 Mn 3.09
N1 0.0000 0.0000 0.5000  2 Mn 1.90

***

# 12
The following is a PBEsol calculation of an optimized crystal structure of YMnNiN2, from Alexandria.

Calculated values
Volume (Å³/atom): 13.569
Uncorrected formation energy (eV per atom): 1.21
Final energy (eV per atom): -6.75
Space-group type: P4/mmm, No. 123
DOS(E_F) (states/eV/f.u.): 3.03

Cell: 3.8149 3.8149 4.6616 Å, 90.00 90.00 90.00°
With the nearest neighbours (Å) after each atom.
Positions (direct):
Y1 0.0000 0.0000 0.0000  2 Ni 2.33
Mn1 0.5000 0.5000 0.0000  4 Y 2.70, 8 N 3.01
Ni1 0.0000 0.0000 0.5000  4 N 1.91
N1 0.0000 0.5000 0.5000  2 Ni 1.91
N2 0.5000 0.0000 0.5000  2 Ni 1.91